1.
Density functional theory data (PBE) for a relaxed ScCuSbRu crystal.

Calculated values
- ΔE_f (raw): -312 meV per atom
- Symmetry: F-43m
- Calculated total energy: -25.07 eV per cell
- Calculated volume: 16.7 A^3/atom

Structure (POSCAR):
```
ScCuSbRu
1.0
0.000 3.219 3.219
3.219 0.000 3.219
3.219 3.219 0.000
Sc Cu Sb Ru
1 1 1 1
Direct
0.000 0.000 0.000 Sc
0.750 0.750 0.750 Cu
0.500 0.500 0.500 Sb
0.250 0.250 0.250 Ru
```

2.
Density functional theory data (PBE) for a relaxed InCoP2Cl crystal.

Calculated values
- Energy relative to the lowest polymorph listed for this composition: 1049 meV/atom
- ΔE_f (raw): 1234 meV per atom
- Symmetry: P4/mmm
- Calculated total energy: -16.34 eV per cell
- Calculated volume: 28.4 A^3/atom

Structure (POSCAR):
```
InCoP2Cl
1.0
5.188 0.000 0.000
0.000 5.188 0.000
0.000 0.000 5.276
In Co P Cl
1 1 2 1
Direct
0.000 0.000 0.000 In
0.500 0.500 0.500 Co
0.000 0.500 0.000 P
0.500 0.000 0.000 P
0.000 0.000 0.500 Cl
```

3.
Density functional theory data (PBE) for a relaxed Th4Te2POs crystal.

Calculated values
- ΔE_f (raw): -1079 meV per atom
- Symmetry: P2/m
- Calculated total energy: -61.23 eV per cell
- Calculated volume: 29.1 A^3/atom

Structure (POSCAR):
```
Th4Te2POs
1.0
7.496 0.000 0.000
0.000 4.164 0.000
-2.424 0.000 7.471
Th Te P Os
4 2 1 1
Direct
0.220 0.000 0.203 Th
0.263 0.500 0.792 Th
0.737 0.500 0.208 Th
0.780 0.000 0.797 Th
0.000 0.000 0.500 Te
0.500 0.500 0.500 Te
0.500 0.000 0.000 P
0.000 0.500 0.000 Os
```

4.
Density functional theory data (PBE) for a relaxed SrCd4In3 crystal.

Calculated values
- ΔE_f: -0.138 eV per atom
- Symmetry: P4/mmm
- Calculated total energy: -14.66 eV per cell
- Calculated volume: 27.9 A^3/atom

Structure (POSCAR):
```
SrCd4In3
1.0
4.900 0.000 0.000
0.000 4.900 0.000
0.000 0.000 9.306
Sr Cd In
1 4 3
Direct
0.000 0.000 0.000 Sr
0.000 0.500 0.319 Cd
0.000 0.500 0.681 Cd
0.500 0.000 0.319 Cd
0.500 0.000 0.681 Cd
0.000 0.000 0.500 In
0.500 0.500 0.150 In
0.500 0.500 0.850 In
```

5.
Density functional theory data (PBE) for a relaxed La6ThSe8 crystal.

Calculated values
- ΔE_f (raw): -1939 meV per atom
- Symmetry: Fm-3m
- Calculated total energy: -93.94 eV per cell
- Calculated volume: 30.0 A^3/atom

Structure (POSCAR):
```
La6ThSe8
1.0
0.000 6.079 6.079
6.079 0.000 6.079
6.079 6.079 0.000
La Th Se
6 1 8
Direct
0.000 0.000 0.500 La
0.000 0.500 0.000 La
0.000 0.500 0.500 La
0.500 0.000 0.000 La
0.500 0.000 0.500 La
0.500 0.500 0.000 La
0.000 0.000 0.000 Th
0.248 0.248 0.752 Se
0.248 0.752 0.248 Se
0.248 0.752 0.752 Se
0.250 0.250 0.250 Se
0.750 0.750 0.750 Se
0.752 0.248 0.248 Se
0.752 0.248 0.752 Se
0.752 0.752 0.248 Se
```

6.
Density functional theory data (PBE) for a relaxed Li4SbIr crystal.

Calculated values
- ΔE_f (raw): -159 meV per atom
- Symmetry: F-43m
- Calculated total energy: -21.59 eV per cell
- Calculated volume: 13.6 A^3/atom

Structure (POSCAR):
```
Li4SbIr
1.0
0.000 3.445 3.445
3.445 0.000 3.445
3.445 3.445 0.000
Li Sb Ir
4 1 1
Direct
0.378 0.378 0.378 Li
0.378 0.378 0.866 Li
0.378 0.866 0.378 Li
0.866 0.378 0.378 Li
0.000 0.000 0.000 Sb
0.750 0.750 0.750 Ir
```

7.
Density functional theory data (PBE) for a relaxed MnBiS2Br crystal.

Calculated values
- Energy relative to the lowest polymorph listed for this composition: 0 meV/atom
- ΔE_f (raw): -534 meV per atom
- Symmetry: C2/m
- Calculated total energy: -51.30 eV per cell
- Calculated volume: 24.0 A^3/atom

Structure (POSCAR):
```
MnBiS2Br
1.0
6.397 -1.975 0.000
6.397 1.975 0.000
-0.317 0.000 9.503
Mn Bi S Br
2 2 4 2
Direct
0.000 0.000 0.000 Mn
0.000 0.000 0.500 Mn
0.286 0.286 0.697 Bi
0.714 0.714 0.303 Bi
0.071 0.071 0.256 S
0.364 0.364 0.445 S
0.636 0.636 0.555 S
0.929 0.929 0.744 S
0.366 0.366 0.062 Br
0.634 0.634 0.938 Br
```